DFT (PBE) results for crystalline NbBSbTe2 at its relaxed geometry.

It has space group P4/mmm (No. 123), with a = 4.7626 Å, b = 4.7626 Å, c = 4.7559 Å, α = 90.00°, β = 90.00° and γ = 90.00°. Symmetry generates all atoms from Nb at (0.0000, 0.0000, 0.0000), B at (0.5000, 0.5000, 0.5000), Sb at (0.5000, 0.5000, 0.0000) and Te at (0.0000, 0.5000, 0.5000).

The energy above the most stable polymorph in this dataset comes out at 0 meV/atom. Its energy relative to the elements, uncorrected is 925.7 meV/atom. The electronic total energy is -4.505 eV/atom.